The following is a PBE-GGA calculation of a relaxed SrSm2In crystal, from Alexandria via LeMat-Bulk.

DOS(E_F) (states/eV/cell): 4.2
Crystal system: tetragonal
Theoretical density (kg/m3): 6411
ΔE_f (eV per atom): -0.14
Size of the total moment (μB per formula unit): 0.00

Cell: 5.0241 5.0930 5.0930 Å, 90.00 90.00 90.00°
Element x y z (fractional)
Sr  0.5000  0.5000  0.5000
In  0.5000  0.0000  0.0000
Sm  0.0000  0.5000  0.0000
Sm  0.0000  0.0000  0.5000